(1)
A plane-wave DFT calculation with PBE was carried out for a geometry-optimized FeMo2Os structure.

Lattice parameters (Å, degrees): 6.1648 6.1648 6.1648 90.00 90.00 90.00
Atoms (fractional coordinates):
Fe: 0.0000 0.0000 0.0000
Fe: 0.0000 0.5000 0.5000
Fe: 0.5000 0.0000 0.5000
Fe: 0.5000 0.5000 0.0000
Mo: 0.2500 0.2500 0.2500
Mo: 0.2500 0.2500 0.7500
Mo: 0.2500 0.7500 0.2500
Mo: 0.2500 0.7500 0.7500
Mo: 0.7500 0.2500 0.2500
Mo: 0.7500 0.2500 0.7500
Mo: 0.7500 0.7500 0.2500
Mo: 0.7500 0.7500 0.7500
Os: 0.0000 0.0000 0.5000
Os: 0.0000 0.5000 0.0000
Os: 0.5000 0.0000 0.0000
Os: 0.5000 0.5000 0.5000

Values from the calculation:
SG: No. 225
DFT total energy (eV per atom): -10.131
Energy above the lowest structure with this stoichiometry (meV per atom): 110
E_form (eV/atom): 0.21

***

(2)
A plane-wave DFT calculation with PBE was carried out for a geometry-optimized FeMoOs2 structure.

Lattice parameters (Å, degrees): 2.6993 4.1500 5.2452 90.00 103.14 90.00
Atoms (fractional coordinates):
Fe: 0.0000 0.0000 0.0000
Mo: 0.0000 0.0000 0.5000
Os: 0.3816 0.5000 0.2351
Os: 0.6184 0.5000 0.7649

Values from the calculation:
SG: No. 10
DFT total energy (eV per atom): -10.238
Energy above the lowest structure with this stoichiometry (meV per atom): 138
E_form (eV/atom): 0.20

***

(3)
A plane-wave DFT calculation with PBE was carried out for a geometry-optimized Fe2MoOs structure.

Lattice parameters (Å, degrees): 2.6509 3.6122 5.3380 90.00 90.00 90.00
Atoms (fractional coordinates):
Fe: 0.0000 0.0000 0.2384
Fe: 0.0000 0.0000 0.7616
Mo: 0.5000 0.5000 0.5000
Os: 0.5000 0.5000 0.0000

Values from the calculation:
SG: No. 47
DFT total energy (eV per atom): -9.622
E_form (eV/atom): 0.12

***

(4)
A plane-wave DFT calculation with PBE was carried out for a geometry-optimized FeMo2Os structure.

Lattice parameters (Å, degrees): 2.7335 2.7335 26.8383 90.00 90.00 120.00
Atoms (fractional coordinates):
Fe: 0.0000 0.0000 0.0000
Fe: 0.3333 0.6667 0.6667
Fe: 0.6667 0.3333 0.3333
Mo: 0.0000 0.0000 0.2522
Mo: 0.0000 0.0000 0.7478
Mo: 0.3333 0.6667 0.4144
Mo: 0.3333 0.6667 0.9189
Mo: 0.6667 0.3333 0.0811
Mo: 0.6667 0.3333 0.5856
Os: 0.0000 0.0000 0.5000
Os: 0.3333 0.6667 0.1667
Os: 0.6667 0.3333 0.8333

Values from the calculation:
SG: No. 166
DFT total energy (eV per atom): -10.105
Energy above the lowest structure with this stoichiometry (meV per atom): 136
E_form (eV/atom): 0.23

***

(5)
A plane-wave DFT calculation with PBE was carried out for a geometry-optimized FeMo2Os structure.

Lattice parameters (Å, degrees): 3.8761 3.8761 7.6708 90.00 90.00 90.00
Atoms (fractional coordinates):
Fe: 0.0000 0.0000 0.0000
Fe: 0.5000 0.5000 0.5000
Mo: 0.0000 0.0000 0.5000
Mo: 0.0000 0.5000 0.7500
Mo: 0.5000 0.0000 0.2500
Mo: 0.5000 0.5000 0.0000
Os: 0.0000 0.5000 0.2500
Os: 0.5000 0.0000 0.7500

Values from the calculation:
SG: No. 119
DFT total energy (eV per atom): -10.175
Energy above the lowest structure with this stoichiometry (meV per atom): 66
E_form (eV/atom): 0.16

***

(6)
A plane-wave DFT calculation with PBE was carried out for a geometry-optimized FeMo2Os structure.

Lattice parameters (Å, degrees): 2.7530 2.7530 7.5011 90.00 90.00 90.00
Atoms (fractional coordinates):
Fe: 0.0000 0.0000 0.0000
Mo: 0.5000 0.5000 0.2374
Mo: 0.5000 0.5000 0.7626
Os: 0.0000 0.0000 0.5000

Values from the calculation:
SG: No. 123
DFT total energy (eV per atom): -10.206
Energy above the lowest structure with this stoichiometry (meV per atom): 36
E_form (eV/atom): 0.13

***

(7)
A plane-wave DFT calculation with PBE was carried out for a geometry-optimized Fe8Mo3Os structure.

Lattice parameters (Å, degrees): 4.6615 4.6615 7.7067 90.00 90.00 120.00
Atoms (fractional coordinates):
Fe: 0.0000 0.0000 0.0000
Fe: 0.0000 0.0000 0.4986
Fe: 0.1694 0.3387 0.7477
Fe: 0.1694 0.8306 0.7477
Fe: 0.3398 0.1699 0.2487
Fe: 0.6613 0.8306 0.7477
Fe: 0.8301 0.1699 0.2487
Fe: 0.8301 0.6602 0.2487
Mo: 0.3333 0.6667 0.0659
Mo: 0.3333 0.6667 0.4381
Mo: 0.6667 0.3333 0.9255
Os: 0.6667 0.3333 0.5622

Values from the calculation:
SG: No. 156
DFT total energy (eV per atom): -9.286
E_form (eV/atom): 0.00

***

(8)
A plane-wave DFT calculation with PBE was carried out for a geometry-optimized Fe2MoOs structure.

Lattice parameters (Å, degrees): 2.7348 2.7348 25.4272 90.00 90.00 120.00
Atoms (fractional coordinates):
Fe: 0.0000 0.0000 0.0000
Fe: 0.0000 0.0000 0.2593
Fe: 0.3333 0.6667 0.6667
Fe: 0.3333 0.6667 0.9260
Fe: 0.6667 0.3333 0.3333
Fe: 0.6667 0.3333 0.5927
Mo: 0.0000 0.0000 0.7539
Mo: 0.3333 0.6667 0.4206
Mo: 0.6667 0.3333 0.0872
Os: 0.0000 0.0000 0.5079
Os: 0.3333 0.6667 0.1746
Os: 0.6667 0.3333 0.8413

Values from the calculation:
SG: No. 160
DFT total energy (eV per atom): -9.534
E_form (eV/atom): 0.21

***

(9)
A plane-wave DFT calculation with PBE was carried out for a geometry-optimized FeMoOs2 structure.

Lattice parameters (Å, degrees): 6.1339 6.1339 6.1339 90.00 90.00 90.00
Atoms (fractional coordinates):
Fe: 0.0000 0.0000 0.0000
Fe: 0.0000 0.5000 0.5000
Fe: 0.5000 0.0000 0.5000
Fe: 0.5000 0.5000 0.0000
Mo: 0.0000 0.0000 0.5000
Mo: 0.0000 0.5000 0.0000
Mo: 0.5000 0.0000 0.0000
Mo: 0.5000 0.5000 0.5000
Os: 0.2500 0.2500 0.2500
Os: 0.2500 0.2500 0.7500
Os: 0.2500 0.7500 0.2500
Os: 0.2500 0.7500 0.7500
Os: 0.7500 0.2500 0.2500
Os: 0.7500 0.2500 0.7500
Os: 0.7500 0.7500 0.2500
Os: 0.7500 0.7500 0.7500

Values from the calculation:
SG: No. 225
DFT total energy (eV per atom): -10.201
Energy above the lowest structure with this stoichiometry (meV per atom): 175
E_form (eV/atom): 0.24

***

(10)
A plane-wave DFT calculation with PBE was carried out for a geometry-optimized FeMo2Os structure.

Lattice parameters (Å, degrees): 5.4378 7.6674 2.7702 90.00 90.00 90.00
Atoms (fractional coordinates):
Fe: 0.0000 0.0000 0.0000
Fe: 0.5000 0.5000 0.0000
Mo: 0.2500 0.2500 0.5000
Mo: 0.2500 0.7500 0.5000
Mo: 0.7500 0.2500 0.5000
Mo: 0.7500 0.7500 0.5000
Os: 0.0000 0.5000 0.0000
Os: 0.5000 0.0000 0.0000

Values from the calculation:
SG: No. 65
DFT total energy (eV per atom): -10.205
Energy above the lowest structure with this stoichiometry (meV per atom): 37
E_form (eV/atom): 0.13

***

(11)
A plane-wave DFT calculation with PBE was carried out for a geometry-optimized FeMoOs2 structure.

Lattice parameters (Å, degrees): 3.0328 4.2843 8.7430 90.00 90.00 90.00
Atoms (fractional coordinates):
Fe: 0.0000 0.0000 0.0000
Fe: 0.5000 0.5000 0.5000
Mo: 0.0000 0.5000 0.7343
Mo: 0.5000 0.0000 0.2343
Os: 0.0000 0.0000 0.4992
Os: 0.0000 0.5000 0.2668
Os: 0.5000 0.0000 0.7668
Os: 0.5000 0.5000 0.9992

Values from the calculation:
SG: No. 44
DFT total energy (eV per atom): -10.182
Energy above the lowest structure with this stoichiometry (meV per atom): 194
E_form (eV/atom): 0.26

***

(12)
A plane-wave DFT calculation with PBE was carried out for a geometry-optimized Fe2MoOs structure.

Lattice parameters (Å, degrees): 3.7616 3.7616 7.4982 90.00 90.00 90.00
Atoms (fractional coordinates):
Fe: 0.0000 0.0000 0.0000
Fe: 0.0000 0.5000 0.2500
Fe: 0.5000 0.0000 0.7500
Fe: 0.5000 0.5000 0.5000
Mo: 0.0000 0.5000 0.7500
Mo: 0.5000 0.0000 0.2500
Os: 0.0000 0.0000 0.5000
Os: 0.5000 0.5000 0.0000

Values from the calculation:
SG: No. 119
DFT total energy (eV per atom): -9.634
E_form (eV/atom): 0.11

***

(13)
A plane-wave DFT calculation with PBE was carried out for a geometry-optimized FeMo2Os structure.

Lattice parameters (Å, degrees): 3.1160 4.2616 8.7462 90.00 90.00 90.00
Atoms (fractional coordinates):
Fe: 0.0000 0.0000 0.0000
Fe: 0.5000 0.5000 0.5000
Mo: 0.0000 0.5000 0.2561
Mo: 0.0000 0.5000 0.7439
Mo: 0.5000 0.0000 0.2439
Mo: 0.5000 0.0000 0.7561
Os: 0.0000 0.0000 0.5000
Os: 0.5000 0.5000 0.0000

Values from the calculation:
SG: No. 71
DFT total energy (eV per atom): -10.201
Energy above the lowest structure with this stoichiometry (meV per atom): 40
E_form (eV/atom): 0.14

***

(14)
A plane-wave DFT calculation with PBE was carried out for a geometry-optimized FeMo2Os structure.

Lattice parameters (Å, degrees): 2.7269 2.7269 27.2775 90.00 90.00 120.00
Atoms (fractional coordinates):
Fe: 0.0000 0.0000 0.0000
Fe: 0.3333 0.6667 0.6667
Fe: 0.6667 0.3333 0.3333
Mo: 0.0000 0.0000 0.5062
Mo: 0.0000 0.0000 0.7479
Mo: 0.3333 0.6667 0.1728
Mo: 0.3333 0.6667 0.4145
Mo: 0.6667 0.3333 0.0812
Mo: 0.6667 0.3333 0.8395
Os: 0.0000 0.0000 0.2554
Os: 0.3333 0.6667 0.9220
Os: 0.6667 0.3333 0.5887

Values from the calculation:
SG: No. 160
DFT total energy (eV per atom): -10.091
Energy above the lowest structure with this stoichiometry (meV per atom): 150
E_form (eV/atom): 0.25

***

(15)
A plane-wave DFT calculation with PBE was carried out for a geometry-optimized Fe2MoOs structure.

Lattice parameters (Å, degrees): 5.3154 7.2162 2.6548 90.00 90.00 90.00
Atoms (fractional coordinates):
Fe: 0.2500 0.2500 0.0000
Fe: 0.2500 0.7500 0.0000
Fe: 0.7500 0.2500 0.0000
Fe: 0.7500 0.7500 0.0000
Mo: 0.0000 0.0000 0.5000
Mo: 0.5000 0.5000 0.5000
Os: 0.0000 0.5000 0.5000
Os: 0.5000 0.0000 0.5000

Values from the calculation:
SG: No. 65
DFT total energy (eV per atom): -9.625
E_form (eV/atom): 0.12

***

The following total moment values (in μB per atom) correspond, in order, to the records above: 0.679; 0.643; 0.056; 0.380; 0.355; 0.169; 0.630; 1.264; 0.923; 0.380; 0.712; 0.886; 0.712; 0.541; 0.001.